[1]
# PBE-GGA DyErZn, relaxed
# Excess energy over the best structure of this formula in the dataset, meV/atom: 232
data_DyErZn
_cell_length_a 9.809
_cell_length_b 4.905
_cell_length_c 7.000
_cell_angle_alpha 90.00
_cell_angle_beta 90.00
_cell_angle_gamma 90.00
_space_group_name_H-M_alt 'P 1'
_space_group_IT_number 1
_space_group_name_Hall 'P 1'
loop_
_atom_site_label
_atom_site_type_symbol
_atom_site_fract_x
_atom_site_fract_y
_atom_site_fract_z
_atom_site_occupancy
Dy1 Dy 0.127 0.250 0.001 1
Dy2 Dy 0.373 0.750 0.501 1
Dy3 Dy 0.627 0.250 0.499 1
Dy4 Dy 0.873 0.750 0.999 1
Er1 Er 0.123 0.250 0.500 1
Er2 Er 0.377 0.750 0.000 1
Er3 Er 0.623 0.250 0.000 1
Er4 Er 0.877 0.750 0.500 1
Zn1 Zn 0.125 0.750 0.250 1
Zn2 Zn 0.375 0.250 0.750 1
Zn3 Zn 0.625 0.750 0.250 1
Zn4 Zn 0.875 0.250 0.750 1


[2]
# PBE-GGA Rb2CdF, relaxed
# Uncorrected formation energy, kJ/mol of formula units: -477
# Excess energy over the best structure of this formula in the dataset, meV/atom: 3
data_Rb2CdF
_cell_length_a 4.117
_cell_length_b 4.117
_cell_length_c 28.657
_cell_angle_alpha 90.00
_cell_angle_beta 90.00
_cell_angle_gamma 120.00
_space_group_name_H-M_alt 'P 1'
_space_group_IT_number 1
_space_group_name_Hall 'P 1'
loop_
_atom_site_label
_atom_site_type_symbol
_atom_site_fract_x
_atom_site_fract_y
_atom_site_fract_z
_atom_site_occupancy
Rb1 Rb 0.000 0.000 0.000 1
Rb2 Rb 0.000 0.000 0.217 1
Rb3 Rb 0.333 0.667 0.667 1
Rb4 Rb 0.333 0.667 0.884 1
Rb5 Rb 0.667 0.333 0.333 1
Rb6 Rb 0.667 0.333 0.551 1
Cd1 Cd 0.000 0.000 0.776 1
Cd2 Cd 0.333 0.667 0.442 1
Cd3 Cd 0.667 0.333 0.109 1
F1 F 0.000 0.000 0.609 1
F2 F 0.333 0.667 0.275 1
F3 F 0.667 0.333 0.942 1


[3]
# PBE-GGA BeBiAs3, relaxed
# Excess energy over the best structure of this formula in the dataset, meV/atom: 0
data_BeBiAs3
_cell_length_a 4.665
_cell_length_b 4.665
_cell_length_c 4.665
_cell_angle_alpha 90.00
_cell_angle_beta 90.00
_cell_angle_gamma 90.00
_space_group_name_H-M_alt 'P 1'
_space_group_IT_number 1
_space_group_name_Hall 'P 1'
loop_
_atom_site_label
_atom_site_type_symbol
_atom_site_fract_x
_atom_site_fract_y
_atom_site_fract_z
_atom_site_occupancy
Be1 Be 0.000 0.000 0.000 1
Bi1 Bi 0.500 0.500 0.500 1
As1 As 0.000 0.000 0.500 1
As2 As 0.000 0.500 0.000 1
As3 As 0.500 0.000 0.000 1


[4]
# PBE-GGA SrSc3Re, relaxed
# Excess energy over the best structure of this formula in the dataset, meV/atom: 0
data_SrSc3Re
_cell_length_a 5.207
_cell_length_b 5.207
_cell_length_c 5.207
_cell_angle_alpha 90.00
_cell_angle_beta 90.00
_cell_angle_gamma 90.00
_space_group_name_H-M_alt 'P 1'
_space_group_IT_number 1
_space_group_name_Hall 'P 1'
loop_
_atom_site_label
_atom_site_type_symbol
_atom_site_fract_x
_atom_site_fract_y
_atom_site_fract_z
_atom_site_occupancy
Sr1 Sr 0.000 0.000 0.000 1
Sc1 Sc 0.000 0.500 0.500 1
Sc2 Sc 0.500 0.000 0.500 1
Sc3 Sc 0.500 0.500 0.000 1
Re1 Re 0.500 0.500 0.500 1


[5]
# PBE-GGA Hf2TiZnN, relaxed
# Uncorrected formation energy, kJ/mol of formula units: -394
data_Hf2TiZnN
_cell_length_a 4.415
_cell_length_b 4.415
_cell_length_c 4.080
_cell_angle_alpha 90.00
_cell_angle_beta 90.00
_cell_angle_gamma 90.00
_space_group_name_H-M_alt 'P 1'
_space_group_IT_number 1
_space_group_name_Hall 'P 1'
loop_
_atom_site_label
_atom_site_type_symbol
_atom_site_fract_x
_atom_site_fract_y
_atom_site_fract_z
_atom_site_occupancy
Hf1 Hf 0.000 0.500 0.000 1
Hf2 Hf 0.500 0.000 0.000 1
Ti1 Ti 0.000 0.000 0.500 1
Zn1 Zn 0.500 0.500 0.500 1
N1 N 0.000 0.000 0.000 1


[6]
The following is a PBE-GGA calculation of crystalline Li2BeNi at its relaxed geometry, from Alexandria via LeMat-Bulk.

Cell and atoms, written as CIF:
```
data_Li2BeNi
_cell_length_a 2.532
_cell_length_b 4.286
_cell_length_c 4.057
_cell_angle_alpha 90.00
_cell_angle_beta 95.43
_cell_angle_gamma 90.00
_space_group_name_H-M_alt 'P 1'
_space_group_IT_number 1
_space_group_name_Hall 'P 1'
loop_
_atom_site_label
_atom_site_type_symbol
_atom_site_fract_x
_atom_site_fract_y
_atom_site_fract_z
_atom_site_occupancy
Li1 Li 0.248 0.000 0.254 1
Li2 Li 0.752 0.000 0.746 1
Be1 Be 0.500 0.500 0.000 1
Ni1 Ni 0.000 0.500 0.500 1
```


[7]
The following is a PBE-GGA calculation of crystalline Hf5Zr4Cd2 at its relaxed geometry, from Alexandria via LeMat-Bulk.

Cell and atoms, written as CIF:
```
data_Hf5Zr4Cd2
_cell_length_a 3.147
_cell_length_b 7.567
_cell_length_c 10.680
_cell_angle_alpha 91.34
_cell_angle_beta 98.38
_cell_angle_gamma 90.30
_space_group_name_H-M_alt 'P 1'
_space_group_IT_number 1
_space_group_name_Hall 'P 1'
loop_
_atom_site_label
_atom_site_type_symbol
_atom_site_fract_x
_atom_site_fract_y
_atom_site_fract_z
_atom_site_occupancy
Hf1 Hf 0.000 0.000 0.000 1
Hf2 Hf 0.309 0.577 0.619 1
Hf3 Hf 0.453 0.652 0.910 1
Hf4 Hf 0.547 0.348 0.090 1
Hf5 Hf 0.691 0.423 0.381 1
Zr1 Zr 0.104 0.683 0.197 1
Zr2 Zr 0.128 0.103 0.268 1
Zr3 Zr 0.872 0.897 0.732 1
Zr4 Zr 0.896 0.317 0.803 1
Cd1 Cd 0.282 0.166 0.561 1
Cd2 Cd 0.718 0.834 0.439 1
```


[8]
The following is a PBE-GGA calculation of crystalline CsMgAgC2 at its relaxed geometry, from Alexandria via LeMat-Bulk.

Cell and atoms, written as CIF:
```
data_CsMgAgC2
_cell_length_a 4.924
_cell_length_b 4.924
_cell_length_c 6.300
_cell_angle_alpha 90.00
_cell_angle_beta 90.00
_cell_angle_gamma 90.00
_space_group_name_H-M_alt 'P 1'
_space_group_IT_number 1
_space_group_name_Hall 'P 1'
loop_
_atom_site_label
_atom_site_type_symbol
_atom_site_fract_x
_atom_site_fract_y
_atom_site_fract_z
_atom_site_occupancy
Cs1 Cs 0.000 0.000 0.000 1
Mg1 Mg 0.500 0.500 0.500 1
Ag1 Ag 0.000 0.000 0.500 1
C1 C 0.000 0.500 0.000 1
C2 C 0.500 0.000 0.000 1
```


[9]
The following is a PBE-GGA calculation of crystalline KZnCd2Rh at its relaxed geometry, from Alexandria via LeMat-Bulk.

Cell and atoms, written as CIF:
```
data_KZnCd2Rh
_cell_length_a 5.270
_cell_length_b 5.270
_cell_length_c 4.904
_cell_angle_alpha 90.00
_cell_angle_beta 90.00
_cell_angle_gamma 90.00
_space_group_name_H-M_alt 'P 1'
_space_group_IT_number 1
_space_group_name_Hall 'P 1'
loop_
_atom_site_label
_atom_site_type_symbol
_atom_site_fract_x
_atom_site_fract_y
_atom_site_fract_z
_atom_site_occupancy
K1 K 0.000 0.000 0.000 1
Zn1 Zn 0.500 0.500 0.000 1
Cd1 Cd 0.000 0.500 0.500 1
Cd2 Cd 0.500 0.000 0.500 1
Rh1 Rh 0.500 0.500 0.500 1
```


[10]
# PBE-GGA TiTlPb2O5, relaxed
# Uncorrected formation energy, kJ/mol of formula units: -1327
data_TiTlPb2O5
_cell_length_a 7.053
_cell_length_b 7.053
_cell_length_c 12.125
_cell_angle_alpha 90.00
_cell_angle_beta 90.00
_cell_angle_gamma 150.17
_space_group_name_H-M_alt 'P 1'
_space_group_IT_number 1
_space_group_name_Hall 'P 1'
loop_
_atom_site_label
_atom_site_type_symbol
_atom_site_fract_x
_atom_site_fract_y
_atom_site_fract_z
_atom_site_occupancy
Ti1 Ti 0.020 0.980 0.500 1
Ti2 Ti 0.980 0.020 0.000 1
Tl1 Tl 0.272 0.728 0.054 1
Tl2 Tl 0.728 0.272 0.554 1
Pb1 Pb 0.316 0.684 0.332 1
Pb2 Pb 0.415 0.585 0.728 1
Pb3 Pb 0.585 0.415 0.228 1
Pb4 Pb 0.684 0.316 0.832 1
O1 O 0.049 0.951 0.876 1
O2 O 0.094 0.906 0.107 1
O3 O 0.156 0.844 0.438 1
O4 O 0.237 0.763 0.711 1
O5 O 0.455 0.545 0.057 1
O6 O 0.545 0.455 0.557 1
O7 O 0.763 0.237 0.211 1
O8 O 0.844 0.156 0.938 1
O9 O 0.906 0.094 0.607 1
O10 O 0.951 0.049 0.376 1


[11]
# PBE-GGA Rb2MgTe, relaxed
# Uncorrected formation energy, kJ/mol of formula units: -67
# Excess energy over the best structure of this formula in the dataset, meV/atom: 258
data_Rb2MgTe
_cell_length_a 6.509
_cell_length_b 6.509
_cell_length_c 22.479
_cell_angle_alpha 90.00
_cell_angle_beta 90.00
_cell_angle_gamma 90.00
_space_group_name_H-M_alt 'P 1'
_space_group_IT_number 1
_space_group_name_Hall 'P 1'
loop_
_atom_site_label
_atom_site_type_symbol
_atom_site_fract_x
_atom_site_fract_y
_atom_site_fract_z
_atom_site_occupancy
Rb1 Rb 0.208 0.250 0.125 1
Rb2 Rb 0.250 0.708 0.375 1
Rb3 Rb 0.250 0.792 0.875 1
Rb4 Rb 0.292 0.250 0.625 1
Rb5 Rb 0.708 0.750 0.625 1
Rb6 Rb 0.750 0.208 0.875 1
Rb7 Rb 0.750 0.292 0.375 1
Rb8 Rb 0.792 0.750 0.125 1
Mg1 Mg 0.000 0.000 0.500 1
Mg2 Mg 0.000 0.500 0.750 1
Mg3 Mg 0.500 0.000 0.250 1
Mg4 Mg 0.500 0.500 0.000 1
Te1 Te 0.000 0.000 0.000 1
Te2 Te 0.000 0.500 0.250 1
Te3 Te 0.500 0.000 0.750 1
Te4 Te 0.500 0.500 0.500 1


[12]
# PBE-GGA Pm6SbTe3S2, relaxed
# Uncorrected formation energy, kJ/mol of formula units: -1832
data_Pm6SbTe3S2
_cell_length_a 7.419
_cell_length_b 7.419
_cell_length_c 7.655
_cell_angle_alpha 99.33
_cell_angle_beta 99.33
_cell_angle_gamma 119.94
_space_group_name_H-M_alt 'P 1'
_space_group_IT_number 1
_space_group_name_Hall 'P 1'
loop_
_atom_site_label
_atom_site_type_symbol
_atom_site_fract_x
_atom_site_fract_y
_atom_site_fract_z
_atom_site_occupancy
Pm1 Pm 0.073 0.426 0.781 1
Pm2 Pm 0.216 0.216 0.213 1
Pm3 Pm 0.426 0.073 0.781 1
Pm4 Pm 0.574 0.927 0.219 1
Pm5 Pm 0.784 0.784 0.787 1
Pm6 Pm 0.927 0.574 0.219 1
Sb1 Sb 0.500 0.500 0.000 1
Te1 Te 0.000 0.000 0.500 1
Te2 Te 0.341 0.659 0.500 1
Te3 Te 0.659 0.341 0.500 1
S1 S 0.168 0.832 0.000 1
S2 S 0.832 0.168 0.000 1


| no. | mass density (kg/m³) | E (Ha/atom) |
| --- | --- | --- |
| 1 | 7792 | -0.127 |
| 2 | 3581 | -0.089 |
| 3 | 7243 | -0.144 |
| 4 | 4806 | -0.239 |
| 5 | 10110 | -0.305 |
| 6 | 3091 | -0.121 |
| 7 | 9785 | -0.284 |
| 8 | 3143 | -0.065 |
| 9 | 5270 | -0.089 |
| 10 | 8266 | -0.230 |
| 11 | 2252 | -0.068 |
| 12 | 6916 | -0.212 |